# 1
First-principles (PBE) data for a geometry-optimized La2DyHo structure, as listed in Alexandria.

Computed properties:
ΔH_f (0 K): 0.026 eV/atom
DOS(E_F): 6.87 states/eV/f.u.
E: -37.86 eV/cell
Energy above the most stable polymorph in this dataset: 3 meV per atom

CIF file:
```
data_La2DyHo
_space_group_name_H-M_alt 'C m m m'
_space_group_IT_number 65
_space_group_name_Hall '-C 2 2'
_cell_length_a 7.392
_cell_length_b 9.947
_cell_length_c 3.712
_cell_angle_alpha 90.00
_cell_angle_beta 90.00
_cell_angle_gamma 90.00
loop_
_atom_site_label
_atom_site_fract_x
_atom_site_fract_y
_atom_site_fract_z
_atom_site_occupancy
La1 0.250 0.250 0.000 1
Dy1 0.000 0.000 0.500 1
Ho1 0.000 0.500 0.500 1
```

***

# 2
First-principles (PBE) data for a geometry-optimized La3DyHo5 structure, as listed in Alexandria.

Computed properties:
ΔH_f (0 K): 0.434 eV/atom
DOS(E_F): 15.73 states/eV/f.u.
E: -153.48 eV/cell

CIF file:
```
data_La3DyHo5
_space_group_name_H-M_alt 'C 1 2/m 1'
_space_group_IT_number 12
_space_group_name_Hall '-C 2y'
_cell_length_a 12.387
_cell_length_b 8.207
_cell_length_c 12.761
_cell_angle_alpha 90.00
_cell_angle_beta 99.98
_cell_angle_gamma 90.00
loop_
_atom_site_label
_atom_site_fract_x
_atom_site_fract_y
_atom_site_fract_z
_atom_site_occupancy
La1 0.000 0.000 0.000 1
La2 0.000 0.000 0.500 1
La3 0.123 0.500 0.217 1
La4 0.233 0.500 0.466 1
Dy1 0.143 0.000 0.260 1
Ho1 0.000 0.321 0.000 1
Ho2 0.055 0.500 0.623 1
Ho3 0.129 0.199 0.783 1
Ho4 0.241 0.500 0.978 1
```

***

# 3
First-principles (PBE) data for a geometry-optimized La8Dy2Ho3 structure, as listed in Alexandria.

Computed properties:
ΔH_f (0 K): 0.142 eV/atom
DOS(E_F): 21.15 states/eV/f.u.
E: -121.01 eV/cell
Energy above the most stable polymorph in this dataset: 0 meV per atom

CIF file:
```
data_La8Dy2Ho3
_space_group_name_H-M_alt 'C 1 2/m 1'
_space_group_IT_number 12
_space_group_name_Hall '-C 2y'
_cell_length_a 13.649
_cell_length_b 11.819
_cell_length_c 6.155
_cell_angle_alpha 90.00
_cell_angle_beta 112.81
_cell_angle_gamma 90.00
loop_
_atom_site_label
_atom_site_fract_x
_atom_site_fract_y
_atom_site_fract_z
_atom_site_occupancy
La1 0.085 0.000 0.237 1
La2 0.139 0.500 0.614 1
La3 0.161 0.262 0.149 1
Dy1 0.186 0.000 0.820 1
Ho1 0.000 0.228 0.500 1
Ho2 0.000 0.500 0.000 1
```

***

Question: Among the records above, which one has the lowest ΔH_f (0 K)?
Answer: La2DyHo